A plane-wave DFT calculation with PBE with a Hubbard U was carried out for a relaxed Cr2BrO crystal.

* DOS(E_F): 1.9 states/eV per cell
* energy: -0.201 Ha/atom
* SG: No. 225
* crystal system: cubic

Cell lengths 4.485, 4.485, 4.485 Å; angles 60.00, 60.00, 60.00 degrees
Each line ends with the local moment (μB).
Sites, in units of the cell vectors:
Cr1 0.250 0.250 0.250  4.29
Cr2 0.750 0.750 0.750  4.29
O1 0.000 0.000 0.000  -0.21
Br1 0.500 0.500 0.500  -0.05